w) # PrSm2Y

A relaxed PrSm2Y crystal (PBE, Alexandria).

The space group is R-3m (No. 166, hexagonal axes) and the conventional cell measures 3.5464, 3.5464 and 37.9221 Å, with angles of 90.00, 90.00 and 120.00 degrees. The distinct sites, in fractional coordinates, are Pr at (0.0000, 0.0000, 0.0000), Sm at (0.0000, 0.0000, 0.0903) and Y at (0.0000, 0.0000, 0.5000).



x) # PrSm2Y

A relaxed PrSm2Y crystal (PBE, Alexandria).

The space group is P4/mmm (No. 123) and the conventional cell measures 4.290, 4.290 and 7.420 Å, with angles of 90.00, 90.00 and 90.00 degrees. The distinct sites, in fractional coordinates, are Pr at (0.000, 0.000, 0.000), Sm at (0.500, 0.500, 0.254) and Y at (0.000, 0.000, 0.500).



y) # PrSm2Y

A relaxed PrSm2Y crystal (PBE, Alexandria).

The space group is I-4m2 (No. 119) and the conventional cell measures 5.158, 5.158 and 10.233 Å, with angles of 90.00, 90.00 and 90.00 degrees. The distinct sites, in fractional coordinates, are Pr at (0.000, 0.000, 0.000), Sm at (0.000, 0.000, 0.500), Sm at (0.000, 0.500, 0.250) and Y at (0.000, 0.500, 0.750).



z) # PrSm2Y

A relaxed PrSm2Y crystal (PBE, Alexandria).

The space group is Amm2 (No. 38) and the conventional cell measures 5.655, 3.596 and 13.434 Å, with angles of 90.00, 90.00 and 90.00 degrees. The distinct sites, in fractional coordinates, are Pr at (0.000, 0.000, 0.000), Sm at (0.000, 0.000, 0.258), Sm at (0.500, 0.000, 0.383) and Y at (0.500, 0.000, 0.645).



It is w) that is the least stable of them.



w) # PrSm2Y

A relaxed PrSm2Y crystal (PBE, Alexandria).

The space group is Fm-3m (No. 225) and the conventional cell measures 8.190, 8.190 and 8.190 Å, with angles of 90.00, 90.00 and 90.00 degrees. The distinct sites, in fractional coordinates, are Pr at (0.000, 0.000, 0.000), Sm at (0.250, 0.250, 0.250) and Y at (0.000, 0.000, 0.500).



x) # PrSm2Y

A relaxed PrSm2Y crystal (PBE, Alexandria).

The space group is P4/mmm (No. 123) and the conventional cell measures 5.134, 5.134 and 5.154 Å, with angles of 90.00, 90.00 and 90.00 degrees. The distinct sites, in fractional coordinates, are Pr at (0.000, 0.000, 0.000), Sm at (0.000, 0.500, 0.500) and Y at (0.500, 0.500, 0.000).



y) # PrSm2Y

A relaxed PrSm2Y crystal (PBE, Alexandria).

The space group is R3m (No. 160, hexagonal axes) and the conventional cell measures 3.6597, 3.6597 and 35.3195 Å, with angles of 90.00, 90.00 and 120.00 degrees. The distinct sites, in fractional coordinates, are Pr at (0.0000, 0.0000, 0.0000), Sm at (0.0000, 0.0000, 0.4178), Sm at (0.0000, 0.0000, 0.5814) and Y at (0.0000, 0.0000, 0.8334).



It is w) that is the least stable of them.



w) # Pr7SmY3

A relaxed Pr7SmY3 crystal (PBE, Alexandria).

The space group is C2/m (No. 12) and the conventional cell measures 11.906, 10.327 and 6.517 Å, with angles of 90.00, 95.80 and 90.00 degrees. The distinct sites, in fractional coordinates, are Pr at (0.000, 0.000, 0.000), Pr at (0.237, 0.500, 0.215), Pr at (0.250, 0.174, 0.260), Sm at (0.000, 0.000, 0.500), Y at (0.000, 0.331, 0.000) and Y at (0.000, 0.500, 0.500).



x) # Pr7SmY3

A relaxed Pr7SmY3 crystal (PBE, Alexandria).

The space group is P3m1 (No. 156) and the conventional cell measures 7.2855, 7.2855 and 8.7895 Å, with angles of 90.00, 90.00 and 120.00 degrees. The distinct sites, in fractional coordinates, are Pr at (0.0000, 0.0000, 0.0000), Pr at (0.0004, 0.5002, 0.0184), Pr at (0.3335, 0.1668, 0.6681), Sm at (0.3333, 0.6667, 0.6852) and Y at (0.1671, 0.3342, 0.3442).



It is w) that is the least stable of them.



w) # Pr3Sm6Y2

A relaxed Pr3Sm6Y2 crystal (PBE, Alexandria).

The space group is I4/mmm (No. 139) and the conventional cell measures 4.836, 4.836 and 33.858 Å, with angles of 90.00, 90.00 and 90.00 degrees. The distinct sites, in fractional coordinates, are Pr at (0.000, 0.000, 0.000), Pr at (0.000, 0.000, 0.203), Sm at (0.000, 0.000, 0.305), Sm at (0.000, 0.500, 0.120) and Y at (0.000, 0.000, 0.454).



x) # Pr3Sm6Y2

A relaxed Pr3Sm6Y2 crystal (PBE, Alexandria).

The space group is P-1 (No. 2) and the conventional cell measures 6.301, 8.131 and 8.158 Å, with angles of 107.36, 104.83 and 97.40 degrees. The distinct sites, in fractional coordinates, are Pr at (0.000, 0.000, 0.000), Pr at (0.364, 0.272, 0.455), Sm at (0.182, 0.636, 0.728), Sm at (0.272, 0.454, 0.090), Sm at (0.455, 0.092, 0.818) and Y at (0.091, 0.818, 0.364).



It is w) that is the least stable of them.



w) # Pr6Sm2Y3

A relaxed Pr6Sm2Y3 crystal (PBE, Alexandria).

The space group is I4/mmm (No. 139) and the conventional cell measures 4.860, 4.860 and 34.079 Å, with angles of 90.00, 90.00 and 90.00 degrees. The distinct sites, in fractional coordinates, are Pr at (0.000, 0.000, 0.196), Pr at (0.000, 0.500, 0.120), Sm at (0.000, 0.000, 0.045), Y at (0.000, 0.000, 0.299) and Y at (0.000, 0.000, 0.500).



x) # Pr6Sm2Y3

A relaxed Pr6Sm2Y3 crystal (PBE, Alexandria).

The space group is P-1 (No. 2) and the conventional cell measures 6.683, 6.858 and 8.907 Å, with angles of 78.35, 72.97 and 86.90 degrees. The distinct sites, in fractional coordinates, are Pr at (0.040, 0.492, 0.303), Pr at (0.101, 0.200, 0.028), Pr at (0.407, 0.870, 0.211), Sm at (0.216, 0.036, 0.579), Y at (0.413, 0.652, 0.861) and Y at (0.500, 0.500, 0.500).



It is w) that is the least stable of them.



w) # Pr3SmY2

A relaxed Pr3SmY2 crystal (PBE, Alexandria).

The space group is Ibam (No. 72) and the conventional cell measures 11.266, 12.302 and 6.909 Å, with angles of 90.00, 90.00 and 90.00 degrees. The distinct sites, in fractional coordinates, are Pr at (0.000, 0.000, 0.250), Pr at (0.000, 0.265, 0.250), Sm at (0.000, 0.500, 0.000) and Y at (0.243, 0.184, 0.000).



x) # Pr3SmY2

A relaxed Pr3SmY2 crystal (PBE, Alexandria).

The space group is C2/c (No. 15) and the conventional cell measures 17.920, 7.310 and 6.319 Å, with angles of 90.00, 90.26 and 90.00 degrees. The distinct sites, in fractional coordinates, are Pr at (0.000, 0.125, 0.250), Pr at (0.167, 0.375, 0.418), Sm at (0.000, 0.375, 0.750) and Y at (0.167, 0.125, 0.917).



It is w) that is the least stable of them.